A plane-wave DFT calculation with GGA-PBE was carried out for crystalline NdEr4Tl7 at its relaxed geometry.

Calculated values
N(E_F), states/eV/atom: 0.6104
Formation enthalpy at 0 K, kJ/mol of formula units: -105.9

Structure (CIF):
```
data_NdEr4Tl7
_space_group_name_H-M_alt 'C 1 2/m 1'
_space_group_IT_number 12
_space_group_name_Hall '-C 2y'
_cell_length_a 13.361
_cell_length_b 5.751
_cell_length_c 11.391
_cell_angle_alpha 90.00
_cell_angle_beta 123.97
_cell_angle_gamma 90.00
loop_
_atom_site_label
_atom_site_fract_x
_atom_site_fract_y
_atom_site_fract_z
Nd1 0.000 0.000 0.000
Er1 0.085 0.500 0.783
Er2 0.219 0.500 0.328
Tl1 0.000 0.500 0.000
Tl2 0.079 0.000 0.331
Tl3 0.136 0.500 0.547
Tl4 0.214 0.000 0.894
```